Here is a relaxed structure of Tb5Zn2Te2 from Alexandria via LeMat-Bulk. Energies are from PBE.

Computed properties:
The calculation puts the formation energy from raw total energies at -0.7367 eV per atom. The value obtained for the density is 8.053 g cm⁻³. For the density of states at the Fermi level, the calculation gives 17.2 states/eV/cell.

Cell lengths 8.754, 8.754, 7.843 Å; angles 90.00, 90.00, 54.11 degrees
Fractional coordinates of all 18 atoms:
Tb (0.000, 0.000, 0.000)
Tb (0.038, 0.704, 0.664)
Tb (0.204, 0.538, 0.164)
Tb (0.296, 0.962, 0.664)
Tb (0.462, 0.796, 0.164)
Tb (0.500, 0.500, 0.500)
Tb (0.538, 0.204, 0.836)
Tb (0.704, 0.038, 0.336)
Tb (0.796, 0.462, 0.836)
Tb (0.962, 0.296, 0.336)
Zn (0.127, 0.873, 0.378)
Zn (0.373, 0.627, 0.878)
Zn (0.627, 0.373, 0.122)
Zn (0.873, 0.127, 0.622)
Te (0.204, 0.204, 0.000)
Te (0.296, 0.296, 0.500)
Te (0.704, 0.704, 0.500)
Te (0.796, 0.796, 0.000)